[1]
Material: Pm3BRh3Au2
Method: DFT, PBE
State: optimized geometry

CIF file:
```
data_Pm3BRh3Au2
_chemical_formula_sum 'Pm3 B1 Rh3 Au2'
_cell_length_a 3.502
_cell_length_b 7.631
_cell_length_c 7.631
_cell_angle_alpha 120.00
_cell_angle_beta 90.00
_cell_angle_gamma 90.00
_space_group_name_H-M_alt 'P 1'
_space_group_IT_number 1
loop_
_space_group_symop_operation_xyz
'x,y,z'
loop_
_atom_site_label
_atom_site_fract_x
_atom_site_fract_y
_atom_site_fract_z
Rh1 0.500 0.208 0.208
Rh2 0.500 0.000 0.792
Rh3 0.500 0.792 0.000
Pm1 0.000 0.364 0.000
Pm2 0.000 0.636 0.636
Pm3 0.000 0.000 0.364
Au1 0.500 0.333 0.667
Au2 0.500 0.667 0.333
B1 0.000 0.000 0.000
```

Calculated values
Symmetry   P-62m
Crystal system   hexagonal
V   19.625 Å³/atom
DOS at the Fermi energy   3.33 states/eV/f.u.

[2]
Material: Pm3B2Rh9Au
Method: DFT, PBE
State: optimized geometry

CIF file:
```
data_Pm3B2Rh9Au
_chemical_formula_sum 'Pm3 B2 Rh9 Au1'
_cell_length_a 5.834
_cell_length_b 5.834
_cell_length_c 8.909
_cell_angle_alpha 90.00
_cell_angle_beta 90.00
_cell_angle_gamma 120.00
_space_group_name_H-M_alt 'P 1'
_space_group_IT_number 1
loop_
_space_group_symop_operation_xyz
'x,y,z'
loop_
_atom_site_label
_atom_site_fract_x
_atom_site_fract_y
_atom_site_fract_z
Pm1 0.000 0.000 0.000
Pm2 0.667 0.333 0.353
Pm3 0.333 0.667 0.647
B1 0.667 0.333 0.856
B2 0.333 0.667 0.144
Rh1 0.837 0.163 0.733
Rh2 0.326 0.163 0.733
Rh3 0.500 0.000 0.000
Rh4 0.674 0.837 0.267
Rh5 0.163 0.326 0.267
Rh6 0.163 0.837 0.267
Rh7 0.000 0.500 0.000
Rh8 0.837 0.674 0.733
Rh9 0.500 0.500 0.000
Au1 0.000 0.000 0.500
```

Calculated values
Symmetry   P-3m1
Crystal system   trigonal
V   17.504 Å³/atom
DOS at the Fermi energy   13.22 states/eV/f.u.

[3]
Material: PrB2Au2
Method: DFT, PBE
State: optimized geometry

CIF file:
```
data_PrB2Au2
_chemical_formula_sum 'Pr2 B4 Au4'
_cell_length_a 6.209
_cell_length_b 6.202
_cell_length_c 6.187
_cell_angle_alpha 115.12
_cell_angle_beta 89.57
_cell_angle_gamma 125.71
_space_group_name_H-M_alt 'P 1'
_space_group_IT_number 1
loop_
_space_group_symop_operation_xyz
'x,y,z'
loop_
_atom_site_label
_atom_site_fract_x
_atom_site_fract_y
_atom_site_fract_z
B1 0.410 0.796 0.386
B2 0.590 0.475 0.887
B3 0.410 0.525 0.113
B4 0.590 0.204 0.614
Au1 0.999 0.703 0.204
Au2 0.498 0.294 0.295
Au3 0.502 0.706 0.705
Au4 0.001 0.297 0.796
Pr1 0.115 0.865 0.749
Pr2 0.885 0.135 0.251
```

Calculated values
Symmetry   P-1
Crystal system   triclinic
V   16.552 Å³/atom
DOS at the Fermi energy   1.44 states/eV/f.u.

no.,energy of formation (eV per formula unit)
1,-5.88
2,-6.85
3,-0.68